PuTiSe2O | the Alexandria database | PBE-GGA | optimized geometry; final energy = -8.644 eV/atom; formation energy from raw total energies = -1.8133 eV/atom
1.0
3.7654 0.0000 0.0000
0.0000 3.7654 0.0000
0.0000 0.0000 13.2546
Pu Ti Se O
2 2 4 2
Cartesian
0.9413 0.9413 1.2950 Pu
2.8240 2.8240 11.9596 Pu
0.9413 0.9413 7.7976 Ti
2.8240 2.8240 5.4570 Ti
0.9413 0.9413 5.2146 Se
0.9413 0.9413 10.4249 Se
2.8240 2.8240 2.8297 Se
2.8240 2.8240 8.0400 Se
0.9413 2.8240 0.0000 O
2.8240 0.9413 0.0000 O